NaYPa | PBE-GGA | optimized geometry

Lattice parameters (Å, degrees): 5.1980 5.1980 5.1980 60.00 60.00 60.00
Closest atoms and distances in Å follow each position.
Atoms (fractional coordinates):
Y  0.7500  0.7500  0.7500  4 Na 3.18
Na  0.0000  0.0000  0.0000  4 Pa 3.18, 4 Y 3.18
Pa  0.2500  0.2500  0.2500  4 Na 3.18

Values from the calculation:
**VASP energy**: -4.329 eV per atom
**Relative energy among the computed polymorphs**: 0.0000 eV per atom
**Magnetization**: 3.4 μB/f.u.